[1]
Compound: Pr4NdErTm2
Source: Alexandria via LeMat-Bulk
Functional: PBE
Structure: relaxed

Lattice parameters (Å, degrees): 5.148 5.177 10.117 90.00 90.01 90.00
Fractional coordinates of all 8 atoms:
Pr: 0.001 0.000 0.253
Pr: 0.499 0.500 0.747
Pr: 0.501 0.500 0.253
Pr: 0.999 0.000 0.747
Nd: 0.000 0.500 0.000
Er: 0.500 0.000 0.500
Tm: 0.000 0.500 0.500
Tm: 0.500 0.000 0.000

Calculated values
DFT formation energy in eV/atom: 0.013
Calculated total energy in eV per atom: -4.66
DOS at the Fermi energy in states/eV per atom: 1.316


[2]
Compound: PrNdEr2Tm5
Source: Alexandria via LeMat-Bulk
Functional: PBE
Structure: relaxed

Lattice parameters (Å, degrees): 9.651 9.651 9.651 125.30 125.30 81.03
Fractional coordinates of all 18 atoms:
Pr: 0.250 0.250 0.000
Pr: 0.750 0.750 0.000
Nd: 0.250 0.750 0.500
Nd: 0.750 0.250 0.500
Er: 0.113 0.613 0.727
Er: 0.387 0.113 0.500
Er: 0.613 0.887 0.500
Er: 0.887 0.387 0.273
Tm: 0.000 0.000 0.000
Tm: 0.073 0.167 0.500
Tm: 0.167 0.667 0.094
Tm: 0.333 0.427 0.500
Tm: 0.427 0.927 0.094
Tm: 0.500 0.500 0.000
Tm: 0.573 0.073 0.906
Tm: 0.667 0.573 0.500
Tm: 0.833 0.333 0.906
Tm: 0.927 0.833 0.500

Calculated values
DFT formation energy in eV/atom: 0.283
Calculated total energy in eV per atom: -4.28
DOS at the Fermi energy in states/eV per atom: 1.283